## Na6Hg2Bi (GGA-PBE)

Data for a geometry-optimized Na6Hg2Bi structure.

Results
Its magnetic moment is 0.00 μB per formula unit. The value obtained for the theoretical density is 4.98 Mg/m³. The calculation puts the calculated formation energy at -177 meV/atom. For the electronic total energy, the calculation gives -14.00 eV/cell.

abc: 9.2371 9.2371 3.3736
angles: 90.00 90.00 120.00
Space group P6/mmm (No. 191)
One atom of each set of equivalent atoms:
Na: 0.0000 0.3317 0.0000 [6 per cell]
Hg: 0.3333 0.6667 0.5000 [2 per cell]
Bi: 0.0000 0.0000 0.5000 [1 per cell]